Here is an optimized crystal structure of HoHfMg2 from Alexandria via LeMat-Bulk. Energies are from PBE.

Results
N(E_F)	0.9712	states/eV/atom
calculated total energy	-4.335	eV per atom
energy relative to the lowest polymorph listed for this composition	0.000	eV per atom
space-group type	P4/mmm

Cell lengths 3.5961, 3.5961, 7.3812 Å; angles 90.00, 90.00, 90.00 degrees
Closest atoms and distances in Å follow each position.
Fractional coordinates of all 4 atoms:
1 Mg 0.0000 0.0000 0.2298  4 Hf 3.06, 4 Ho 3.23, 1 Mg 3.39
2 Hf 0.5000 0.5000 0.0000  8 Mg 3.06
3 Mg 0.0000 0.0000 0.7702  4 Hf 3.06, 4 Ho 3.23, 1 Mg 3.39
4 Ho 0.5000 0.5000 0.5000  8 Mg 3.23, 4 Ho 3.60

***

Here is an optimized crystal structure of HoHfMg2 from Alexandria via LeMat-Bulk. Energies are from PBE.

Results
N(E_F)	1.0887	states/eV/atom
calculated total energy	-4.297	eV per atom
energy relative to the lowest polymorph listed for this composition	0.039	eV per atom
space-group type	R-3m

Cell lengths 3.2228, 3.2228, 11.0761 Å; angles 81.63, 81.63, 60.00 degrees
Closest atoms and distances in Å follow each position.
Fractional coordinates of all 4 atoms:
1 Ho 0.5000 0.5000 0.5000  6 Ho 3.22, 6 Mg 3.41
2 Hf 0.0000 0.0000 0.0000  6 Mg 3.20, 6 Hf 3.22
3 Mg 0.2537 0.2537 0.2388  3 Hf 3.20, 6 Mg 3.22, 3 Ho 3.41
4 Mg 0.7463 0.7463 0.7612  3 Hf 3.20, 6 Mg 3.22, 3 Ho 3.41

***

Here is an optimized crystal structure of Ho2Hf3MgN6 from Alexandria via LeMat-Bulk. Energies are from PBE.

Results
N(E_F)	0.2194	states/eV/atom
calculated total energy	-9.228	eV per atom
space-group type	C2/m
formation energy from raw total energies	-1.68	eV/atom

Cell lengths 3.2641, 6.5830, 7.3460 Å; angles 103.72, 102.84, 90.00 degrees
Closest atoms and distances in Å follow each position.
Fractional coordinates of all 12 atoms:
1 N 0.9949 0.2559 0.9899  3 Hf 2.20-2.28, 1 Ho 2.36, 2 Mg 2.36
2 Hf 0.1637 0.8336 0.3273  6 N 2.20-2.34
3 Ho 0.8356 0.6717 0.6711  6 N 2.36-2.43
4 Mg 0.5000 0.0000 0.0000  6 N 2.34-2.36
5 N 0.0051 0.7441 0.0101  3 Hf 2.20-2.28, 1 Ho 2.36, 2 Mg 2.36
6 N 0.6682 0.0679 0.3363  3 Hf 2.24-2.34, 1 Mg 2.34, 2 Ho 2.38
7 Hf 0.8363 0.1664 0.6727  6 N 2.20-2.34
8 N 0.3391 0.4050 0.6781  3 Hf 2.24-2.26, 3 Ho 2.41-2.43
9 N 0.6609 0.5950 0.3219  3 Hf 2.24-2.26, 3 Ho 2.41-2.43
10 Ho 0.1644 0.3283 0.3289  6 N 2.36-2.43
11 Hf 0.5000 0.5000 0.0000  6 N 2.24-2.28
12 N 0.3318 0.9321 0.6637  3 Hf 2.24-2.34, 1 Mg 2.34, 2 Ho 2.38

***

Here is an optimized crystal structure of Ho2HfMgN4 from Alexandria via LeMat-Bulk. Energies are from PBE.

Results
N(E_F)	0.0604	states/eV/atom
calculated total energy	-8.285	eV per atom
space-group type	P2/m
formation energy from raw total energies	-1.53	eV/atom

Cell lengths 3.3298, 5.7384, 5.7245 Å; angles 109.29, 90.00, 90.00 degrees
Closest atoms and distances in Å follow each position.
Fractional coordinates of all 8 atoms:
1 Ho 0.5000 0.0000 0.5000  6 N 2.35-2.36
2 Hf 0.0000 0.0000 0.0000  6 N 2.24-2.28
3 N 0.0000 0.7583 0.2380  1 Hf 2.24, 2 Mg 2.34, 3 Ho 2.36-2.43
4 N 0.5000 0.7635 0.7665  2 Hf 2.28, 1 Mg 2.33, 3 Ho 2.35-2.42
5 N 0.0000 0.2417 0.7620  1 Hf 2.24, 2 Mg 2.34, 3 Ho 2.36-2.43
6 Mg 0.5000 0.5000 0.0000  6 N 2.33-2.34
7 Ho 0.0000 0.5000 0.5000  6 N 2.42-2.43
8 N 0.5000 0.2365 0.2335  2 Hf 2.28, 1 Mg 2.33, 3 Ho 2.35-2.42

***

Here is an optimized crystal structure of HoHfMgOs from Alexandria via LeMat-Bulk. Energies are from PBE.

Results
N(E_F)	0.5736	states/eV/atom
calculated total energy	-7.007	eV per atom
space-group type	F-43m

Cell lengths 4.8424, 4.8424, 4.8424 Å; angles 60.00, 60.00, 60.00 degrees
Closest atoms and distances in Å follow each position.
Fractional coordinates of all 4 atoms:
1 Os 0.5000 0.5000 0.5000  4 Hf 2.97, 4 Ho 2.97
2 Ho 0.7500 0.7500 0.7500  4 Mg 2.97, 4 Os 2.97
3 Hf 0.2500 0.2500 0.2500  4 Os 2.97, 4 Mg 2.97
4 Mg 0.0000 0.0000 0.0000  4 Hf 2.97, 4 Ho 2.97

***

Here is an optimized crystal structure of Ho2HfMgP4 from Alexandria via LeMat-Bulk. Energies are from PBE.

Results
N(E_F)	0.1267	states/eV/atom
calculated total energy	-6.521	eV per atom
space-group type	P2/m

Cell lengths 3.8742, 6.7507, 6.6642 Å; angles 109.76, 90.00, 90.00 degrees
Closest atoms and distances in Å follow each position.
Fractional coordinates of all 8 atoms:
1 P 0.5000 0.7601 0.7651  2 Hf 2.67, 1 Mg 2.72, 3 Ho 2.77-2.80
2 Mg 0.5000 0.5000 0.0000  6 P 2.69-2.72
3 P 0.5000 0.2399 0.2349  2 Hf 2.67, 1 Mg 2.72, 3 Ho 2.77-2.80
4 Ho 0.0000 0.5000 0.5000  6 P 2.80-2.83
5 P 0.0000 0.7501 0.2341  1 Hf 2.66, 2 Mg 2.69, 3 Ho 2.78-2.83
6 Hf 0.0000 0.0000 0.0000  6 P 2.66-2.67
7 Ho 0.5000 0.0000 0.5000  6 P 2.77-2.78
8 P 0.0000 0.2499 0.7659  1 Hf 2.66, 2 Mg 2.69, 3 Ho 2.78-2.83

***

Look up the N(E_F) of the fourth one.
0.0604 states/eV/atom

***

What is the calculated total energy in the third record?
-9.228 eV per atom

***

What is the formula in the second record?
HoHfMg2